The following is a PBE calculation of a relaxed structure of SrEu2Hg, from Alexandria via LeMat-Bulk.

Unit cell a=11.672 b=11.672 c=11.672 alpha=20.23 beta=20.23 gamma=20.23
Atoms (fractional coordinates):
Sr: 0.000 0.000 0.000
Eu: 0.233 0.233 0.233
Eu: 0.767 0.767 0.767
Hg: 0.500 0.500 0.500

Output
Relative energy among the computed polymorphs in meV per atom: 90
D(E_F) in states/eV/cell: 17.82
Total moment in μB per cell: 15.3
Electronic total energy in eV/atom: -5.8102
V in Å³/cell: 166.3
Crystal system: trigonal
Energy of formation from the pure elements in meV/atom: -177

=====

The following is a PBE calculation of a relaxed structure of SrEu2Hg, from Alexandria via LeMat-Bulk.

Unit cell a=5.856 b=5.856 c=5.856 alpha=60.00 beta=60.00 gamma=60.00
Atoms (fractional coordinates):
Sr: 0.000 0.000 0.000
Eu: 0.250 0.250 0.250
Eu: 0.750 0.750 0.750
Hg: 0.500 0.500 0.500

Output
Relative energy among the computed polymorphs in meV per atom: 199
D(E_F) in states/eV/cell: 4.58
Total moment in μB per cell: 14.7
Electronic total energy in eV/atom: -5.7017
V in Å³/cell: 142.0
Crystal system: cubic
Energy of formation from the pure elements in meV/atom: -69

=====

The following is a PBE calculation of a relaxed structure of SrEu2Hg, from Alexandria via LeMat-Bulk.

Unit cell a=5.166 b=5.166 c=5.451 alpha=90.00 beta=90.00 gamma=90.00
Atoms (fractional coordinates):
Sr: 0.000 0.000 0.000
Eu: 0.000 0.500 0.500
Eu: 0.500 0.000 0.500
Hg: 0.500 0.500 0.000

Output
Relative energy among the computed polymorphs in meV per atom: 135
D(E_F) in states/eV/cell: 4.50
Total moment in μB per cell: 15.7
Electronic total energy in eV/atom: -5.7653
V in Å³/cell: 145.5
Crystal system: tetragonal
Energy of formation from the pure elements in meV/atom: -132

=====

The following is a PBE calculation of a relaxed structure of SrEuTlHg, from Alexandria via LeMat-Bulk.

Unit cell a=5.654 b=5.654 c=5.654 alpha=60.00 beta=60.00 gamma=60.00
Atoms (fractional coordinates):
Sr: 0.000 0.000 0.000
Eu: 0.500 0.500 0.500
Tl: 0.250 0.250 0.250
Hg: 0.750 0.750 0.750

Output
D(E_F) in states/eV/cell: 12.14
Total moment in μB per cell: 7.1
Electronic total energy in eV/atom: -4.1387
V in Å³/cell: 127.8
Crystal system: cubic
Energy of formation from the pure elements in meV/atom: -483

=====

The following is a PBE calculation of a relaxed structure of SrEuZnHg, from Alexandria via LeMat-Bulk.

Unit cell a=5.510 b=5.510 c=5.510 alpha=60.00 beta=60.00 gamma=60.00
Atoms (fractional coordinates):
Sr: 0.000 0.000 0.000
Eu: 0.500 0.500 0.500
Zn: 0.250 0.250 0.250
Hg: 0.750 0.750 0.750

Output
D(E_F) in states/eV/cell: 8.47
Total moment in μB per cell: 7.2
Electronic total energy in eV/atom: -3.7538
V in Å³/cell: 118.3
Crystal system: cubic
Energy of formation from the pure elements in meV/atom: -371

=====

The following is a PBE calculation of a relaxed structure of TbEuHg, from Alexandria via LeMat-Bulk.

Unit cell a=5.246 b=5.246 c=5.246 alpha=60.00 beta=60.00 gamma=60.00
Atoms (fractional coordinates):
Tb: 0.000 0.000 0.000
Eu: 0.500 0.500 0.500
Hg: 0.250 0.250 0.250

Output
Relative energy among the computed polymorphs in meV per atom: 172
D(E_F) in states/eV/cell: 4.59
Total moment in μB per cell: 7.4
Electronic total energy in eV/atom: -5.1932
V in Å³/cell: 102.1
Crystal system: cubic
Energy of formation from the pure elements in meV/atom: -124

=====

The following is a PBE calculation of a relaxed structure of TbEu2Hg, from Alexandria via LeMat-Bulk.

Unit cell a=12.231 b=12.231 c=12.231 alpha=17.07 beta=17.07 gamma=17.07
Atoms (fractional coordinates):
Tb: 0.000 0.000 0.000
Eu: 0.096 0.096 0.096
Eu: 0.904 0.904 0.904
Hg: 0.500 0.500 0.500

Output
Relative energy among the computed polymorphs in meV per atom: 244
D(E_F) in states/eV/cell: 5.49
Total moment in μB per cell: 15.5
Electronic total energy in eV/atom: -6.3142
V in Å³/cell: 137.5
Crystal system: trigonal
Energy of formation from the pure elements in meV/atom: 56

=====

The following is a PBE calculation of a relaxed structure of Tb2EuHg, from Alexandria via LeMat-Bulk.

Unit cell a=5.469 b=5.469 c=5.469 alpha=60.00 beta=60.00 gamma=60.00
Atoms (fractional coordinates):
Tb: 0.250 0.250 0.250
Tb: 0.750 0.750 0.750
Eu: 0.000 0.000 0.000
Hg: 0.500 0.500 0.500

Output
Relative energy among the computed polymorphs in meV per atom: 121
D(E_F) in states/eV/cell: 5.11
Total moment in μB per cell: 7.4
Electronic total energy in eV/atom: -5.0035
V in Å³/cell: 115.7
Crystal system: cubic
Energy of formation from the pure elements in meV/atom: -44

=====

The following is a PBE calculation of a relaxed structure of TbEu2Hg, from Alexandria via LeMat-Bulk.

Unit cell a=3.800 b=3.800 c=9.200 alpha=90.00 beta=90.00 gamma=90.00
Atoms (fractional coordinates):
Tb: 0.000 0.000 0.000
Eu: 0.500 0.500 0.286
Eu: 0.500 0.500 0.714
Hg: 0.000 0.000 0.500

Output
Relative energy among the computed polymorphs in meV per atom: 0
D(E_F) in states/eV/cell: 3.87
Total moment in μB per cell: 15.4
Electronic total energy in eV/atom: -6.5587
V in Å³/cell: 132.9
Crystal system: tetragonal
Energy of formation from the pure elements in meV/atom: -188

=====

The following is a PBE calculation of a relaxed structure of TbEuHg, from Alexandria via LeMat-Bulk.

Unit cell a=5.245 b=5.245 c=3.941 alpha=90.00 beta=90.00 gamma=120.00
Atoms (fractional coordinates):
Tb: 0.000 0.000 0.000
Eu: 0.667 0.333 0.473
Hg: 0.333 0.667 0.879

Output
Relative energy among the computed polymorphs in meV per atom: 106
D(E_F) in states/eV/cell: 2.27
Total moment in μB per cell: 7.2
Electronic total energy in eV/atom: -5.2589
V in Å³/cell: 93.9
Crystal system: trigonal
Energy of formation from the pure elements in meV/atom: -190

=====

The following is a PBE calculation of a relaxed structure of Tb2EuHg, from Alexandria via LeMat-Bulk.

Unit cell a=4.929 b=4.929 c=4.793 alpha=90.00 beta=90.00 gamma=90.00
Atoms (fractional coordinates):
Tb: 0.000 0.500 0.000
Tb: 0.500 0.000 0.000
Eu: 0.000 0.000 0.500
Hg: 0.500 0.500 0.500

Output
Relative energy among the computed polymorphs in meV per atom: 51
D(E_F) in states/eV/cell: 4.40
Total moment in μB per cell: 7.2
Electronic total energy in eV/atom: -5.0737
V in Å³/cell: 116.4
Crystal system: tetragonal
Energy of formation from the pure elements in meV/atom: -115

=====

The following is a PBE calculation of a relaxed structure of Tb2EuHg, from Alexandria via LeMat-Bulk.

Unit cell a=3.691 b=3.691 c=9.146 alpha=90.00 beta=90.00 gamma=90.00
Atoms (fractional coordinates):
Tb: 0.000 0.000 0.206
Tb: 0.000 0.000 0.794
Eu: 0.500 0.500 0.500
Hg: 0.500 0.500 0.000

Output
Relative energy among the computed polymorphs in meV per atom: 0
D(E_F) in states/eV/cell: 5.31
Total moment in μB per cell: 8.0
Electronic total energy in eV/atom: -5.1245
V in Å³/cell: 124.6
Crystal system: tetragonal
Energy of formation from the pure elements in meV/atom: -165

=====

The following is a PBE calculation of a relaxed structure of TbEu2Hg, from Alexandria via LeMat-Bulk.

Unit cell a=4.970 b=4.970 c=5.026 alpha=90.00 beta=90.00 gamma=90.00
Atoms (fractional coordinates):
Tb: 0.000 0.000 0.000
Eu: 0.000 0.500 0.500
Eu: 0.500 0.000 0.500
Hg: 0.500 0.500 0.000

Output
Relative energy among the computed polymorphs in meV per atom: 79
D(E_F) in states/eV/cell: 4.48
Total moment in μB per cell: 15.1
Electronic total energy in eV/atom: -6.4793
V in Å³/cell: 124.1
Crystal system: tetragonal
Energy of formation from the pure elements in meV/atom: -109

=====

The following is a PBE calculation of a relaxed structure of Tb2EuHg, from Alexandria via LeMat-Bulk.

Unit cell a=11.074 b=11.074 c=11.074 alpha=19.17 beta=19.17 gamma=19.17
Atoms (fractional coordinates):
Tb: 0.239 0.239 0.239
Tb: 0.761 0.761 0.761
Eu: 0.000 0.000 0.000
Hg: 0.500 0.500 0.500

Output
Relative energy among the computed polymorphs in meV per atom: 40
D(E_F) in states/eV/cell: 3.28
Total moment in μB per cell: 7.7
Electronic total energy in eV/atom: -5.0849
V in Å³/cell: 128.0
Crystal system: trigonal
Energy of formation from the pure elements in meV/atom: -126

=====

The following is a PBE calculation of a relaxed structure of TbEuHg, from Alexandria via LeMat-Bulk.

Unit cell a=7.050 b=7.050 c=7.050 alpha=148.85 beta=148.85 gamma=44.63
Atoms (fractional coordinates):
Tb: 0.000 0.000 0.000
Eu: 0.711 0.711 0.000
Hg: 0.373 0.373 0.000

Output
Relative energy among the computed polymorphs in meV per atom: 0
D(E_F) in states/eV/cell: 3.34
Total moment in μB per cell: 7.6
Electronic total energy in eV/atom: -5.3651
V in Å³/cell: 93.4
Crystal system: tetragonal
Energy of formation from the pure elements in meV/atom: -296